No. 1
CrPdPb3 | PBE | optimized geometry

Output
Its calculated total energy is -4.66 eV/atom. As for the symmetry: No. 221. Its energy above the lowest structure with this stoichiometry is 0 meV per atom.

Cell lengths 5.349, 5.349, 5.349 Å; angles 90.00, 90.00, 90.00 degrees
Site moments in Bohr magnetons follow the coordinates.
Sites, in units of the cell vectors:
Pb: 0.000 0.500 0.000  -0.02
Pb: 0.000 0.000 0.500  -0.03
Pb: 0.500 0.000 0.000  -0.01
Cr: 0.500 0.500 0.500  4.17
Pd: 0.000 0.000 0.000  -0.01

No. 2
LiPr2Rh2 | PBE | optimized geometry

Output
Its calculated total energy is -5.75 eV/atom. As for the symmetry: No. 15. Its energy above the lowest structure with this stoichiometry is 21 meV per atom.

Cell lengths 5.552, 5.862, 7.956 Å; angles 104.32, 90.00, 118.26 degrees
Sites, in units of the cell vectors:
Li: 0.871 0.000 0.250
Li: 0.129 0.000 0.750
Pr: 0.498 0.294 0.150
Pr: 0.204 0.706 0.350
Pr: 0.502 0.706 0.850
Pr: 0.796 0.294 0.650
Rh: 0.724 0.735 0.489
Rh: 0.988 0.265 0.011
Rh: 0.276 0.265 0.511
Rh: 0.012 0.735 0.989

No. 3
BaHf2Sn2 | PBE | optimized geometry

Output
Its calculated total energy is -6.11 eV/atom. As for the symmetry: No. 127. Its energy above the lowest structure with this stoichiometry is 141 meV per atom.

Cell lengths 9.041, 9.041, 3.251 Å; angles 90.00, 90.00, 90.00 degrees
Sites, in units of the cell vectors:
Hf: 0.126 0.626 0.500
Hf: 0.626 0.874 0.500
Hf: 0.874 0.374 0.500
Hf: 0.374 0.126 0.500
Ba: 0.000 0.000 0.000
Ba: 0.500 0.500 0.000
Sn: 0.339 0.839 0.000
Sn: 0.839 0.661 0.000
Sn: 0.661 0.161 0.000
Sn: 0.161 0.339 0.000